! CaTbY (PBE-GGA, relaxed); values from VASP
&SYSTEM
  ibrav = 0, nat = 6, ntyp = 3
/
ATOMIC_SPECIES
Ca 40.08 Ca.upf
Tb 158.93 Tb.upf
Y 88.91 Y.upf
CELL_PARAMETERS angstrom
3.642 0.000 0.000
0.000 3.642 0.000
0.000 0.000 15.787
ATOMIC_POSITIONS crystal
Ca 0.000 0.500 0.905
Ca 0.500 0.000 0.095
Tb 0.500 0.000 0.731
Tb 0.000 0.500 0.269
Y 0.000 0.500 0.581
Y 0.500 0.000 0.419
! * total magnetization: 0.000 μB per formula unit
! * energy: -4.32 eV/atom
! * excess energy over the best structure of this formula in the dataset: 10 meV per atom
! * E_form: 50 meV per atom
! * DOS(E_F): 1.592 states/eV per atom